Record 1
Entry from the Alexandria database: a relaxed Cd3TeOs crystal (PBEsol).

Lattice parameters (Å, degrees): 5.1324 5.1324 5.1324 90.00 90.00 90.00
Closest atoms and distances in Å follow each position.
Atoms (fractional coordinates):
Cd (0.0000, 0.0000, 0.5000)  2 Os 2.57
Cd (0.0000, 0.5000, 0.0000)  2 Os 2.57
Cd (0.5000, 0.0000, 0.0000)  2 Os 2.57
Te (0.5000, 0.5000, 0.5000)  12 Cd 3.63
Os (0.0000, 0.0000, 0.0000)  6 Cd 2.57

Properties
**Uncorrected formation energy**: 0.9556 eV/atom
**Crystal system**: cubic
**DOS at the Fermi energy**: 6.03 states/eV per cell
**Energy**: -14.6 eV per formula unit


Record 2
Entry from the Alexandria database: a relaxed CaB2Rh2 crystal (PBEsol).

Lattice parameters (Å, degrees): 6.9625 6.0109 5.4425 74.69 56.38 48.93
Closest atoms and distances in Å follow each position.
Atoms (fractional coordinates):
Ca (0.1250, 0.1250, 0.1250)  6 B 2.96-3.08, 8 Rh 3.00-3.24
Ca (0.8750, 0.8750, 0.8750)  6 B 2.96-3.08, 8 Rh 3.00-3.24
B (0.1982, 0.5518, 0.1982)  4 Rh 2.05-2.12
B (0.4482, 0.8018, 0.4482)  4 Rh 2.05-2.12
B (0.5518, 0.1982, 0.5518)  4 Rh 2.05-2.12
B (0.8018, 0.4482, 0.8018)  4 Rh 2.05-2.12
Rh (0.2453, 0.2453, 0.5047)  4 B 2.05-2.12
Rh (0.4953, 0.4953, 0.7547)  4 B 2.05-2.12
Rh (0.5047, 0.5047, 0.2453)  4 B 2.05-2.12
Rh (0.7547, 0.7547, 0.4953)  4 B 2.05-2.12

Properties
**Crystal system**: orthorhombic
**ΔE_f**: -620 meV/atom
**DOS at the Fermi energy**: 1.93 states/eV per cell
**Energy**: -35.5 eV per formula unit


Record 3
Entry from the Alexandria database: a relaxed KMg crystal (PBEsol).

Lattice parameters (Å, degrees): 3.9937 3.9937 10.4941 90.00 90.00 90.00
Closest atoms and distances in Å follow each position.
Atoms (fractional coordinates):
K (0.2500, 0.2500, 0.1882)  5 Mg 3.86-3.91, 4 K 3.99
K (0.7500, 0.7500, 0.8118)  5 Mg 3.86-3.91, 4 K 3.99
Mg (0.2500, 0.2500, 0.5609)  4 Mg 3.10
Mg (0.7500, 0.7500, 0.4391)  4 Mg 3.10

Properties
**Crystal system**: tetragonal
**ΔE_f**: 154 meV/atom
**DOS at the Fermi energy**: 2.27 states/eV per cell
**Energy**: -2.5 eV per formula unit


Record 4
Entry from the Alexandria database: a relaxed SiTePb2 crystal (PBEsol).

Lattice parameters (Å, degrees): 11.2716 11.2716 11.2716 16.90 16.90 16.90
Closest atoms and distances in Å follow each position.
Atoms (fractional coordinates):
Si (0.0000, 0.0000, 0.0000)  6 Pb 3.07, 6 Si 3.31
Te (0.5000, 0.5000, 0.5000)  6 Te 3.31, 6 Pb 3.69
Pb (0.2613, 0.2613, 0.2613)  3 Si 3.07, 6 Pb 3.31
Pb (0.7387, 0.7387, 0.7387)  3 Si 3.07, 6 Pb 3.31

Properties
**Uncorrected formation energy**: 0.2932 eV/atom
**Crystal system**: trigonal
**DOS at the Fermi energy**: 1.80 states/eV per cell
**Energy**: -16.1 eV per formula unit


Record 5
Entry from the Alexandria database: a relaxed BaNaW3 crystal (PBEsol).

Lattice parameters (Å, degrees): 5.0136 5.0136 5.0136 90.00 90.00 90.00
Closest atoms and distances in Å follow each position.
Atoms (fractional coordinates):
Ba (0.0000, 0.0000, 0.0000)  6 W 2.51
Na (0.5000, 0.5000, 0.5000)  12 W 3.55
W (0.0000, 0.0000, 0.5000)  2 Ba 2.51
W (0.0000, 0.5000, 0.0000)  2 Ba 2.51
W (0.5000, 0.0000, 0.0000)  2 Ba 2.51

Properties
**Crystal system**: cubic
**Offset from the most stable computed form**: 483 meV/atom
**ΔE_f**: 3704 meV/atom
**DOS at the Fermi energy**: 7.40 states/eV per cell
**Energy**: -26.5 eV per formula unit


Record 6
Entry from the Alexandria database: a relaxed AgAsRh crystal (PBEsol).

Lattice parameters (Å, degrees): 5.3019 5.3019 5.3019 145.53 145.53 49.54
Closest atoms and distances in Å follow each position.
Atoms (fractional coordinates):
Ag (0.0000, 0.0000, 0.0000)  5 Rh 2.89-2.96, 5 As 2.90-2.95, 4 Ag 3.14
As (0.6941, 0.6941, 0.0000)  4 Rh 2.48
Rh (0.3075, 0.3075, 0.0000)  4 As 2.48

Properties
**Crystal system**: tetragonal
**Offset from the most stable computed form**: 0 meV/atom
**ΔE_f**: -117 meV/atom
**DOS at the Fermi energy**: 1.47 states/eV per cell
**Energy**: -16.9 eV per formula unit